# 1
Compound: CaY2AlN
Source: Alexandria
Functional: PBE
Structure: relaxed

Unit cell a=4.815 b=4.815 c=4.814 alpha=90.00 beta=90.00 gamma=90.00
Fractional coordinates of all 5 atoms:
Ca 0.000 0.000 0.000
Y 0.000 0.500 0.500
Y 0.500 0.000 0.500
Al 0.500 0.500 0.000
N 0.000 0.000 0.500

## Properties
Space group: P4/mmm (123)
Magnetization: 0.00 μB/atom
Formation energy from raw total energies: -0.82 eV/atom
Electronic total energy: -31.12 eV for the cell shown


# 2
Compound: TiReI3
Source: Alexandria
Functional: PBE
Structure: relaxed

Unit cell a=5.559 b=5.559 c=5.559 alpha=90.00 beta=90.00 gamma=90.00
Fractional coordinates of all 5 atoms:
Ti 0.000 0.000 0.000
Re 0.500 0.500 0.500
I 0.000 0.000 0.500
I 0.000 0.500 0.000
I 0.500 0.000 0.000

## Properties
Space group: Pm-3m (221)
Magnetization: 1.16 μB/atom
Formation energy from raw total energies: 1.00 eV/atom
Electronic total energy: -19.98 eV for the cell shown


# 3
Compound: Ni2SbPt2
Source: Alexandria
Functional: PBE
Structure: relaxed

Unit cell a=7.311 b=7.311 c=2.908 alpha=90.00 beta=90.00 gamma=90.00
Fractional coordinates of all 10 atoms:
Ni 0.159 0.341 0.000
Ni 0.341 0.841 0.000
Ni 0.659 0.159 0.000
Ni 0.841 0.659 0.000
Sb 0.000 0.000 0.500
Sb 0.500 0.500 0.500
Pt 0.138 0.638 0.500
Pt 0.362 0.138 0.500
Pt 0.638 0.862 0.500
Pt 0.862 0.362 0.500

## Properties
Space group: P4/mbm (127)
Magnetization: 0.00 μB/atom
Formation energy from raw total energies: 0.00 eV/atom
Electronic total energy: -55.53 eV for the cell shown


# 4
Compound: BaPr3Cd4
Source: Alexandria
Functional: PBE
Structure: relaxed

Unit cell a=5.594 b=5.594 c=7.979 alpha=90.00 beta=90.00 gamma=90.00
Fractional coordinates of all 8 atoms:
Ba 0.000 0.000 0.000
Pr 0.000 0.000 0.500
Pr 0.500 0.500 0.000
Pr 0.500 0.500 0.500
Cd 0.000 0.500 0.267
Cd 0.000 0.500 0.733
Cd 0.500 0.000 0.267
Cd 0.500 0.000 0.733

## Properties
Space group: P4/mmm (123)
Magnetization: 0.07 μB/atom
Electronic total energy: -22.10 eV for the cell shown
Energy of formation from the pure elements: -0.2725 eV per atom


# 5
Compound: CeScAu3
Source: Alexandria
Functional: PBE
Structure: relaxed

Unit cell a=13.956 b=13.956 c=4.628 alpha=90.00 beta=90.00 gamma=165.92
Fractional coordinates of all 10 atoms:
Ce 0.077 0.923 0.750
Ce 0.923 0.077 0.250
Sc 0.210 0.790 0.250
Sc 0.790 0.210 0.750
Au 0.311 0.689 0.250
Au 0.373 0.627 0.750
Au 0.473 0.527 0.750
Au 0.527 0.473 0.250
Au 0.627 0.373 0.250
Au 0.689 0.311 0.750

## Properties
Space group: Cmcm (63)
Magnetization: 0.15 μB/atom
Electronic total energy: -51.39 eV for the cell shown
Energy of formation from the pure elements: -0.7194 eV per atom


# 6
Compound: Nd5Te2Pb2
Source: Alexandria
Functional: PBE
Structure: relaxed

Unit cell a=10.563 b=10.563 c=10.563 alpha=67.36 beta=135.33 gamma=132.36
Fractional coordinates of all 18 atoms:
Nd 0.105 0.019 0.586
Nd 0.216 0.056 0.271
Nd 0.216 0.444 0.660
Nd 0.433 0.519 0.414
Nd 0.466 0.770 0.007
Nd 0.466 0.959 0.196
Nd 0.763 0.270 0.804
Nd 0.763 0.459 0.993
Nd 0.784 0.556 0.340
Nd 0.784 0.944 0.729
Te 0.725 0.225 0.500
Te 0.725 0.725 0.000
Te 0.903 0.179 0.224
Te 0.955 0.679 0.776
Pb 0.239 0.368 0.042
Pb 0.239 0.697 0.371
Pb 0.326 0.197 0.958
Pb 0.326 0.868 0.629

## Properties
Space group: Ima2 (46)
Magnetization: 0.00 μB/atom
Formation energy from raw total energies: -0.74 eV/atom
Electronic total energy: -88.38 eV for the cell shown


# 7
Compound: Np2ZnIr
Source: Alexandria
Functional: PBE
Structure: relaxed

Unit cell a=11.443 b=11.443 c=11.443 alpha=14.05 beta=14.05 gamma=14.05
Fractional coordinates of all 4 atoms:
Np 0.092 0.092 0.092
Np 0.908 0.908 0.908
Zn 0.000 0.000 0.000
Ir 0.500 0.500 0.500

## Properties
Space group: R-3m (166)
Magnetization: 1.47 μB/atom
Electronic total energy: -35.13 eV for the cell shown
Energy of formation from the pure elements: 0.2227 eV per atom


# 8
Compound: Ca2LaCuN
Source: Alexandria
Functional: PBE
Structure: relaxed

Unit cell a=4.849 b=4.849 c=5.049 alpha=90.00 beta=90.00 gamma=90.00
Fractional coordinates of all 5 atoms:
Ca 0.000 0.500 0.000
Ca 0.500 0.000 0.000
La 0.000 0.000 0.500
Cu 0.500 0.500 0.500
N 0.000 0.000 0.000

## Properties
Space group: P4/mmm (123)
Magnetization: 0.00 μB/atom
Formation energy from raw total energies: -0.44 eV/atom
Electronic total energy: -23.56 eV for the cell shown